First-principles (GGA+U) data for crystalline Sr2CoCl2O2 at its relaxed geometry, as listed in OQMD.

Calculated values
Its crystal system is tetragonal. The value obtained for the energy is -5.23 eV/atom.

extended XYZ file:
```
7
Lattice="-4.073 0.000 0.000 0.000 -4.073 0.000 2.036 2.036 7.564" Properties=species:S:1:pos:R:3 pbc="T T T"
Cl 0.000 0.000 2.744
Cl -2.036 -2.036 4.820
Co 0.000 0.000 0.000
O -2.036 0.000 0.000
O 0.000 -2.036 0.000
Sr -2.036 -2.036 1.641
Sr 0.000 0.000 5.922
```